The following is a DFT calculation (PBE) of a relaxed AgBr crystal.

Structure (POSCAR):
```
AgBr
1.0
-3.288 7.184 -3.035
-0.092 -2.883 -6.724
-6.866 -2.627 1.220
Br Ag
8 8
direct
0.125 0.542 0.386
0.375 0.458 0.886
0.625 0.958 0.614
0.863 0.509 0.871
0.137 0.009 0.629
0.875 0.042 0.114
0.363 0.991 0.129
0.637 0.491 0.371
0.601 0.242 0.100
0.627 0.310 0.705
0.127 0.190 0.295
0.873 0.690 0.205
0.101 0.258 0.900
0.373 0.810 0.795
0.399 0.742 0.400
0.899 0.758 0.600
```

Calculated values
For the total magnetization, the calculation gives 0.00 μB/f.u. Its space group is P2_12_12_1. The total energy is -41.24 eV per cell. The value obtained for the formation energy from raw total energies is -0.32 eV/atom.